1.
Here is crystalline CoTcAg at its relaxed geometry from OQMD via LeMat-Bulk. Energies are from GGA-PBE.

CIF file:
```
data_CoTcAg
_chemical_formula_sum 'Co4 Tc4 Ag4'
_symmetry_space_group_name_H-M 'F -4 3 m'
_symmetry_Int_Tables_number 216
_symmetry_space_group_name_Hall 'F -4 2 3'
_cell_length_a 5.743
_cell_length_b 5.743
_cell_length_c 5.743
_cell_angle_alpha 90.00
_cell_angle_beta 90.00
_cell_angle_gamma 90.00
loop_
_atom_site_label
_atom_site_fract_x
_atom_site_fract_y
_atom_site_fract_z
_atom_site_occupancy
Co1 0.000 0.000 0.000 1
Tc1 0.250 0.250 0.250 1
Ag1 0.250 0.250 0.750 1
```

Output
As for the energy of formation: 0.79 eV per atom.

---

2.
Here is crystalline TlCoTcAg at its relaxed geometry from OQMD via LeMat-Bulk. Energies are from GGA-PBE.

CIF file:
```
data_TlCoTcAg
_chemical_formula_sum 'Tl4 Co4 Tc4 Ag4'
_symmetry_space_group_name_H-M 'F -4 3 m'
_symmetry_Int_Tables_number 216
_symmetry_space_group_name_Hall 'F -4 2 3'
_cell_length_a 6.427
_cell_length_b 6.427
_cell_length_c 6.427
_cell_angle_alpha 90.00
_cell_angle_beta 90.00
_cell_angle_gamma 90.00
loop_
_atom_site_label
_atom_site_fract_x
_atom_site_fract_y
_atom_site_fract_z
_atom_site_occupancy
Tl1 0.000 0.000 0.000 1
Co1 0.250 0.250 0.250 1
Tc1 0.000 0.000 0.500 1
Ag1 0.250 0.250 0.750 1
```

Output
The total energy comes out at -4.945 eV per atom.